(1)
Computed, not measured: Tb3Nd2Os2 after structural relaxation at the PBE level of DFT.

Output
* formation energy from the elements: -0.171 eV/atom
* VASP energy: -0.4944 Ry per atom
* total magnetic moment: 0.0 μB/f.u.

CIF file:
```
data_Tb3Nd2Os2
_cell_length_a 12.1484
_cell_length_b 3.9753
_cell_length_c 8.6514
_cell_angle_alpha 90.00
_cell_angle_beta 114.31
_cell_angle_gamma 90.00
_symmetry_space_group_name_H-M 'C 1 2/m 1'
_symmetry_Int_Tables_number 12
loop_
_symmetry_equiv_pos_as_xyz
'x,y,z'
'-x,-y,-z'
'-x,y,-z'
'x,-y,z'
'x+1/2,y+1/2,z'
'-x+1/2,-y+1/2,-z'
'-x+1/2,y+1/2,-z'
'x+1/2,-y+1/2,z'
loop_
_atom_site_label
_atom_site_type_symbol
_atom_site_fract_x
_atom_site_fract_y
_atom_site_fract_z
Tb1 Tb 0.0000 0.0000 0.0000
Tb2 Tb 0.1251 0.0000 0.4260
Nd1 Nd 0.1629 0.5000 0.8045
Os1 Os 0.1763 0.5000 0.2234
```

---

(2)
Computed, not measured: TcSbPb2 after structural relaxation at the PBE level of DFT.

Output
* raw formation energy: 0.703 eV per formula unit
* VASP energy: -0.3896 Ry per atom
* total magnetic moment: 0.0 μB/f.u.

CIF file:
```
data_TcSbPb2
_cell_length_a 9.3907
_cell_length_b 3.3891
_cell_length_c 7.1856
_cell_angle_alpha 90.00
_cell_angle_beta 109.08
_cell_angle_gamma 90.00
_symmetry_space_group_name_H-M 'C 1 m 1'
_symmetry_Int_Tables_number 8
loop_
_symmetry_equiv_pos_as_xyz
'x,y,z'
'x,-y,z'
'x+1/2,y+1/2,z'
'x+1/2,-y+1/2,z'
loop_
_atom_site_label
_atom_site_type_symbol
_atom_site_fract_x
_atom_site_fract_y
_atom_site_fract_z
Tc1 Tc 0.0000 0.0000 0.0000
Sb1 Sb 0.2131 0.5000 0.9933
Pb1 Pb 0.0344 0.5000 0.3345
Pb2 Pb 0.3600 0.0000 0.6593
```

---

(3)
Computed, not measured: HfAsOsCl2 after structural relaxation at the PBE level of DFT.

Output
* raw formation energy: 3.616 eV per formula unit
* VASP energy: -0.3809 Ry per atom
* total magnetic moment: 0.0 μB/f.u.

CIF file:
```
data_HfAsOsCl2
_cell_length_a 4.6210
_cell_length_b 4.6210
_cell_length_c 5.0179
_cell_angle_alpha 90.00
_cell_angle_beta 90.00
_cell_angle_gamma 90.00
_symmetry_space_group_name_H-M 'P 4/m m m'
_symmetry_Int_Tables_number 123
_symmetry_space_group_name_Hall '-P 4 2'
loop_
_atom_site_label
_atom_site_type_symbol
_atom_site_fract_x
_atom_site_fract_y
_atom_site_fract_z
Hf1 Hf 0.0000 0.0000 0.0000
As1 As 0.5000 0.5000 0.0000
Os1 Os 0.5000 0.5000 0.5000
Cl1 Cl 0.0000 0.5000 0.5000
```

---

(4)
Computed, not measured: LaTmPu2 after structural relaxation at the PBE level of DFT.

Output
* formation energy from the elements: 0.201 eV/atom
* relative energy among the computed polymorphs: 8 meV per atom
* VASP energy: -0.6846 Ry per atom
* total magnetic moment: 12.4 μB/f.u.

CIF file:
```
data_LaTmPu2
_cell_length_a 4.8916
_cell_length_b 4.8916
_cell_length_c 4.9580
_cell_angle_alpha 90.00
_cell_angle_beta 90.00
_cell_angle_gamma 90.00
_symmetry_space_group_name_H-M 'P 4/m m m'
_symmetry_Int_Tables_number 123
_symmetry_space_group_name_Hall '-P 4 2'
loop_
_atom_site_label
_atom_site_type_symbol
_atom_site_fract_x
_atom_site_fract_y
_atom_site_fract_z
La1 La 0.0000 0.0000 0.0000
Tm1 Tm 0.5000 0.5000 0.0000
Pu1 Pu 0.0000 0.5000 0.5000
```

---

(5)
Computed, not measured: RbNaSn3 after structural relaxation at the PBE level of DFT.

Output
* formation energy from the elements: 0.330 eV/atom
* relative energy among the computed polymorphs: 486 meV per atom
* VASP energy: -0.1859 Ry per atom
* total magnetic moment: 0.0 μB/f.u.

CIF file:
```
data_RbNaSn3
_cell_length_a 5.6538
_cell_length_b 5.6538
_cell_length_c 5.6538
_cell_angle_alpha 90.00
_cell_angle_beta 90.00
_cell_angle_gamma 90.00
_symmetry_space_group_name_H-M 'P m -3 m'
_symmetry_Int_Tables_number 221
_symmetry_space_group_name_Hall '-P 4 2 3'
loop_
_atom_site_label
_atom_site_type_symbol
_atom_site_fract_x
_atom_site_fract_y
_atom_site_fract_z
Rb1 Rb 0.0000 0.0000 0.0000
Na1 Na 0.5000 0.5000 0.5000
Sn1 Sn 0.0000 0.5000 0.5000
```

---

(6)
Computed, not measured: FeBMo3 after structural relaxation at the PBE level of DFT.

Output
* formation energy from the elements: 0.430 eV/atom
* relative energy among the computed polymorphs: 0 meV per atom
* VASP energy: -0.6686 Ry per atom
* total magnetic moment: 0.0 μB/f.u.

CIF file:
```
data_FeBMo3
_cell_length_a 4.1275
_cell_length_b 4.1275
_cell_length_c 4.1275
_cell_angle_alpha 90.00
_cell_angle_beta 90.00
_cell_angle_gamma 90.00
_symmetry_space_group_name_H-M 'P m -3 m'
_symmetry_Int_Tables_number 221
_symmetry_space_group_name_Hall '-P 4 2 3'
loop_
_atom_site_label
_atom_site_type_symbol
_atom_site_fract_x
_atom_site_fract_y
_atom_site_fract_z
Fe1 Fe 0.0000 0.0000 0.0000
B1 B 0.5000 0.5000 0.5000
Mo1 Mo 0.0000 0.5000 0.5000
```

---

(7)
Computed, not measured: LuZnIrRh after structural relaxation at the PBE level of DFT.

Output
* formation energy from the elements: -0.630 eV/atom
* VASP energy: -0.4507 Ry per atom
* total magnetic moment: 0.0 μB/f.u.

CIF file:
```
data_LuZnIrRh
_cell_length_a 6.3923
_cell_length_b 6.3923
_cell_length_c 6.3923
_cell_angle_alpha 90.00
_cell_angle_beta 90.00
_cell_angle_gamma 90.00
_symmetry_space_group_name_H-M 'F -4 3 m'
_symmetry_Int_Tables_number 216
_symmetry_space_group_name_Hall 'F -4 2 3'
loop_
_atom_site_label
_atom_site_type_symbol
_atom_site_fract_x
_atom_site_fract_y
_atom_site_fract_z
Lu1 Lu 0.0000 0.0000 0.0000
Zn1 Zn 0.0000 0.0000 0.5000
Ir1 Ir 0.2500 0.2500 0.7500
Rh1 Rh 0.2500 0.2500 0.2500
```

---

(8)
Computed, not measured: CaNi2HgBi after structural relaxation at the PBE level of DFT.

Output
* formation energy from the elements: 0.429 eV/atom
* VASP energy: -0.2294 Ry per atom
* total magnetic moment: 0.0 μB/f.u.

CIF file:
```
data_CaNi2HgBi
_cell_length_a 4.8631
_cell_length_b 4.8631
_cell_length_c 5.7125
_cell_angle_alpha 90.00
_cell_angle_beta 90.00
_cell_angle_gamma 90.00
_symmetry_space_group_name_H-M 'P 4/m m m'
_symmetry_Int_Tables_number 123
_symmetry_space_group_name_Hall '-P 4 2'
loop_
_atom_site_label
_atom_site_type_symbol
_atom_site_fract_x
_atom_site_fract_y
_atom_site_fract_z
Ca1 Ca 0.0000 0.0000 0.0000
Ni1 Ni 0.0000 0.5000 0.5000
Hg1 Hg 0.5000 0.5000 0.0000
Bi1 Bi 0.5000 0.5000 0.5000
```